{
  "formula": "ScPaMoO6",
  "functional": "GGA+U",
  "state": "optimized geometry",
  "lattice_angstrom": [[5.494, 0.000, 0.000], [-2.747, 4.758, 0.000], [0.000, 0.000, 9.140]],
  "species": ["Mo", "O", "Pa", "O", "Mo", "O", "O", "O", "O", "O", "Sc", "O", "O", "O", "Sc", "O", "Pa", "O"],
  "frac_coords": [[0.667, 0.333, 0.250], [0.017, 0.342, 0.630], [0.667, 0.333, 0.750], [0.342, 0.325, 0.370], [0.333, 0.667, 0.750], [0.658, 0.675, 0.630], [0.675, 0.017, 0.370], [0.658, 0.983, 0.870], [0.983, 0.658, 0.370], [0.017, 0.675, 0.870], [0.000, 0.000, 0.000], [0.325, 0.342, 0.870], [0.675, 0.658, 0.130], [0.983, 0.325, 0.130], [0.000, 0.000, 0.500], [0.342, 0.017, 0.130], [0.333, 0.667, 0.250], [0.325, 0.983, 0.630]],
  "magnetic_moment_mub_per_cell": 4.000,
  "final_energy_ev_per_fu": -78.169,
  "density_g_cm3": 6.51
}